# 1
A relaxed structure of B5W12C3, computed with PBE.

Space-group type ... P-62m (189)
DFT total energy ... -10.9229 eV/atom
Magnetization ... 0.009 μB/f.u.

Cell lengths 9.462, 9.462, 3.136 Å; angles 90.00, 90.00, 120.00 degrees
Element x y z (fractional)
W 0.452 0.257 0.000
W 0.548 0.805 0.000
W 0.000 0.469 0.500
W 0.805 0.548 0.000
W 0.469 0.000 0.500
W 0.743 0.195 0.000
W 0.531 0.531 0.500
W 0.195 0.743 0.000
W 0.831 0.831 0.500
W 0.000 0.169 0.500
W 0.169 0.000 0.500
W 0.257 0.452 0.000
C 0.311 0.000 0.000
C 0.689 0.689 0.000
C 0.000 0.311 0.000
B 0.278 0.278 0.500
B 0.722 0.000 0.500
B 0.667 0.333 0.500
B 0.000 0.722 0.500
B 0.333 0.667 0.500


# 2
A relaxed structure of BW4C2, computed with PBE.

Space-group type ... Cmcm (63)
DFT total energy ... -10.9865 eV/atom
Magnetization ... 0.000 μB/f.u.

Cell lengths 5.243, 5.243, 10.425 Å; angles 90.00, 90.00, 145.60 degrees
Element x y z (fractional)
W 0.225 0.775 0.380
W 0.225 0.775 0.120
W 0.045 0.955 0.750
W 0.775 0.225 0.620
W 0.500 0.500 0.000
W 0.775 0.225 0.880
W 0.955 0.045 0.250
W 0.500 0.500 0.500
C 0.865 0.135 0.068
C 0.135 0.865 0.568
C 0.135 0.865 0.932
C 0.865 0.135 0.432
B 0.615 0.385 0.250
B 0.385 0.615 0.750


# 3
A relaxed structure of B8W10C3, computed with PBE.

Space-group type ... P6/mmm (191)
DFT total energy ... -9.8389 eV/atom
Magnetization ... 0.012 μB/f.u.

Cell lengths 8.137, 8.137, 3.983 Å; angles 90.00, 90.00, 120.00 degrees
Element x y z (fractional)
W 0.000 0.000 0.000
W 0.587 0.793 0.000
W 0.207 0.413 0.000
W 0.500 0.000 0.500
W 0.000 0.500 0.500
W 0.413 0.207 0.000
W 0.207 0.793 0.000
W 0.500 0.500 0.500
W 0.793 0.207 0.000
W 0.793 0.587 0.000
C 0.500 0.500 0.000
C 0.000 0.500 0.000
C 0.500 0.000 0.000
B 0.213 0.213 0.500
B 0.667 0.333 0.500
B 0.787 0.000 0.500
B 0.213 0.000 0.500
B 0.000 0.213 0.500
B 0.787 0.787 0.500
B 0.000 0.787 0.500
B 0.333 0.667 0.500


# 4
A relaxed structure of BW4C2, computed with PBE.

Space-group type ... Pbam (55)
DFT total energy ... -10.9334 eV/atom
Magnetization ... 0.001 μB/f.u.

Cell lengths 5.505, 9.854, 3.025 Å; angles 90.00, 90.00, 90.00 degrees
Element x y z (fractional)
W 0.738 0.956 0.500
W 0.262 0.044 0.500
W 0.109 0.791 0.000
W 0.891 0.209 0.000
W 0.238 0.544 0.500
W 0.609 0.709 0.000
W 0.391 0.291 0.000
W 0.762 0.456 0.500
B 0.500 0.500 0.000
B 0.000 0.000 0.000
C 0.403 0.836 0.500
C 0.597 0.164 0.500
C 0.903 0.664 0.500
C 0.097 0.336 0.500


# 5
A relaxed structure of B5W4C2, computed with PBE.

Space-group type ... Cmmm (65)
DFT total energy ... -9.3772 eV/atom
Magnetization ... 0.005 μB/f.u.

Cell lengths 8.382, 8.382, 3.028 Å; angles 90.00, 90.00, 91.61 degrees
Element x y z (fractional)
W 0.041 0.706 0.500
W 0.266 0.266 0.000
W 0.294 0.959 0.500
W 0.706 0.041 0.500
W 0.639 0.361 0.000
W 0.734 0.734 0.000
W 0.959 0.294 0.500
W 0.361 0.639 0.000
B 0.105 0.491 0.000
B 0.472 0.213 0.500
B 0.213 0.472 0.500
B 0.426 0.426 0.500
B 0.895 0.509 0.000
B 0.509 0.895 0.000
B 0.787 0.528 0.500
B 0.528 0.787 0.500
B 0.574 0.574 0.500
B 0.491 0.105 0.000
C 0.178 0.822 0.000
C 0.871 0.871 0.500
C 0.129 0.129 0.500
C 0.822 0.178 0.000


# 6
A relaxed structure of BW4C2, computed with PBE.

Space-group type ... Pnma (62)
DFT total energy ... -10.9455 eV/atom
Magnetization ... 0.001 μB/f.u.

Cell lengths 10.029, 3.037, 10.702 Å; angles 90.00, 90.00, 90.00 degrees
Element x y z (fractional)
W 0.812 0.250 0.165
W 0.443 0.250 0.788
W 0.312 0.250 0.335
W 0.120 0.750 0.558
W 0.557 0.750 0.212
W 0.894 0.750 0.930
W 0.688 0.750 0.665
W 0.188 0.750 0.835
W 0.620 0.750 0.942
W 0.380 0.250 0.058
W 0.606 0.250 0.430
W 0.394 0.750 0.570
W 0.943 0.250 0.712
W 0.106 0.250 0.070
W 0.057 0.750 0.288
W 0.880 0.250 0.442
C 0.543 0.250 0.616
C 0.043 0.250 0.884
C 0.114 0.250 0.416
C 0.386 0.750 0.916
C 0.614 0.250 0.084
C 0.886 0.750 0.584
C 0.957 0.750 0.116
C 0.457 0.750 0.384
B 0.752 0.750 0.329
B 0.252 0.750 0.171
B 0.248 0.250 0.671
B 0.748 0.250 0.829


# 7
A relaxed structure of BW3C, computed with PBE.

Space-group type ... P2_1/m (11)
DFT total energy ... -11.0427 eV/atom
Magnetization ... 0.002 μB/f.u.

Cell lengths 8.945, 3.058, 17.608 Å; angles 90.00, 100.84, 90.00 degrees
Element x y z (fractional)
B 0.317 0.750 0.742
B 0.298 0.250 0.251
B 0.683 0.250 0.258
B 0.936 0.250 0.139
B 0.702 0.750 0.749
B 0.064 0.750 0.861
B 0.198 0.750 0.541
B 0.802 0.250 0.459
C 0.472 0.250 0.890
C 0.438 0.750 0.427
C 0.562 0.250 0.573
C 0.980 0.250 0.640
C 0.155 0.750 0.053
C 0.020 0.750 0.360
C 0.845 0.250 0.947
C 0.528 0.750 0.110
W 0.472 0.750 0.636
W 0.943 0.750 0.556
W 0.235 0.250 0.826
W 0.902 0.750 0.038
W 0.376 0.750 0.958
W 0.624 0.250 0.042
W 0.863 0.250 0.824
W 0.017 0.750 0.725
W 0.765 0.750 0.174
W 0.519 0.250 0.772
W 0.245 0.750 0.341
W 0.663 0.750 0.904
W 0.057 0.250 0.444
W 0.098 0.250 0.962
W 0.137 0.750 0.176
W 0.481 0.750 0.228
W 0.983 0.250 0.275
W 0.646 0.750 0.507
W 0.337 0.250 0.096
W 0.782 0.750 0.355
W 0.218 0.250 0.645
W 0.354 0.250 0.493
W 0.755 0.250 0.659
W 0.528 0.250 0.364


# 8
A relaxed structure of BW3C, computed with PBE.

Space-group type ... Cmcm (63)
DFT total energy ... -11.1010 eV/atom
Magnetization ... 0.002 μB/f.u.

Cell lengths 5.239, 5.239, 7.618 Å; angles 90.00, 90.00, 145.50 degrees
Element x y z (fractional)
B 0.253 0.747 0.250
B 0.747 0.253 0.750
C 0.000 0.000 0.000
C 0.000 0.000 0.500
W 0.643 0.357 0.066
W 0.357 0.643 0.934
W 0.911 0.089 0.250
W 0.089 0.911 0.750
W 0.643 0.357 0.434
W 0.357 0.643 0.566